# GGA-PBE BeAgIrAu, optimized geometry
data_BeAgIrAu
_symmetry_space_group_name_H-M 'P 1'
_symmetry_Int_Tables_number 1
_symmetry_space_group_name_Hall 'P 1'
_cell_length_a 2.898
_cell_length_b 4.635
_cell_length_c 4.667
_cell_angle_alpha 105.71
_cell_angle_beta 90.18
_cell_angle_gamma 90.06
loop_
_atom_site_label
_atom_site_type_symbol
_atom_site_fract_x
_atom_site_fract_y
_atom_site_fract_z
Be1 Be 0.000 0.000 0.000
Ag1 Ag 0.498 0.532 0.023
Ir1 Ir 0.497 0.905 0.610
Au1 Au 0.997 0.357 0.476
# offset from the most stable computed form = 86 kJ/mol of formula units
# ΔH_f (0 K) = 0.13 eV per atom